Entry 1:
This record from Alexandria via LeMat-Bulk describes a relaxed CeU2Tc crystal. The functional is PBE-GGA.

Cell and atoms, written as CIF:
```
data_CeU2Tc
_space_group_name_H-M_alt 'P 1'
_space_group_IT_number 1
_space_group_name_Hall 'P 1'
_cell_length_a 4.570
_cell_length_b 4.570
_cell_length_c 5.309
_cell_angle_alpha 64.51
_cell_angle_beta 64.51
_cell_angle_gamma 60.00
loop_
_atom_site_label
_atom_site_type_symbol
_atom_site_fract_x
_atom_site_fract_y
_atom_site_fract_z
U1 U 0.745 0.745 0.764
U2 U 0.255 0.255 0.236
Tc1 Tc 0.000 0.000 0.000
Ce1 Ce 0.500 0.500 0.500
```

Output
**DFT formation energy**: 211 meV per atom
**SG**: R-3m (166)
**E above lowest polymorph**: 33.4 meV/atom


Entry 2:
This record from Alexandria via LeMat-Bulk describes a relaxed CeUTc3 crystal. The functional is PBE-GGA.

Cell and atoms, written as CIF:
```
data_CeUTc3
_space_group_name_H-M_alt 'P 1'
_space_group_IT_number 1
_space_group_name_Hall 'P 1'
_cell_length_a 5.374
_cell_length_b 6.478
_cell_length_c 6.478
_cell_angle_alpha 118.49
_cell_angle_beta 90.00
_cell_angle_gamma 90.00
loop_
_atom_site_label
_atom_site_type_symbol
_atom_site_fract_x
_atom_site_fract_y
_atom_site_fract_z
Ce1 Ce 0.750 0.423 0.577
Ce2 Ce 0.250 0.577 0.423
U1 U 0.750 0.797 0.203
U2 U 0.250 0.203 0.797
Tc1 Tc 0.750 0.391 0.045
Tc2 Tc 0.750 0.955 0.609
Tc3 Tc 0.250 0.045 0.391
Tc4 Tc 0.250 0.609 0.955
Tc5 Tc 0.000 0.000 0.000
Tc6 Tc 0.500 0.000 0.000
```

Output
**DFT formation energy**: 35 meV per atom
**SG**: Cmcm (63)


Entry 3:
This record from Alexandria via LeMat-Bulk describes a relaxed CeUTc4 crystal. The functional is PBE-GGA.

Cell and atoms, written as CIF:
```
data_CeUTc4
_space_group_name_H-M_alt 'P 1'
_space_group_IT_number 1
_space_group_name_Hall 'P 1'
_cell_length_a 5.368
_cell_length_b 5.368
_cell_length_c 5.368
_cell_angle_alpha 60.00
_cell_angle_beta 60.00
_cell_angle_gamma 60.00
loop_
_atom_site_label
_atom_site_type_symbol
_atom_site_fract_x
_atom_site_fract_y
_atom_site_fract_z
U1 U 0.250 0.250 0.250
Tc1 Tc 0.625 0.625 0.125
Tc2 Tc 0.625 0.125 0.625
Tc3 Tc 0.625 0.625 0.625
Tc4 Tc 0.125 0.625 0.625
Ce1 Ce 0.000 0.000 0.000
```

Output
**DFT formation energy**: 14 meV per atom
**SG**: F-43m (216)


Entry 4:
This record from Alexandria via LeMat-Bulk describes a relaxed CeU2Tc crystal. The functional is PBE-GGA.

Cell and atoms, written as CIF:
```
data_CeU2Tc
_space_group_name_H-M_alt 'P 1'
_space_group_IT_number 1
_space_group_name_Hall 'P 1'
_cell_length_a 3.569
_cell_length_b 3.569
_cell_length_c 6.825
_cell_angle_alpha 90.00
_cell_angle_beta 90.00
_cell_angle_gamma 90.00
loop_
_atom_site_label
_atom_site_type_symbol
_atom_site_fract_x
_atom_site_fract_y
_atom_site_fract_z
U1 U 0.000 0.000 0.804
U2 U 0.000 0.000 0.196
Tc1 Tc 0.500 0.500 0.000
Ce1 Ce 0.500 0.500 0.500
```

Output
**DFT formation energy**: 177 meV per atom
**SG**: P4/mmm (123)
**E above lowest polymorph**: 0.0 meV/atom


Entry 5:
This record from Alexandria via LeMat-Bulk describes a relaxed CeVTc crystal. The functional is PBE-GGA.

Cell and atoms, written as CIF:
```
data_CeVTc
_space_group_name_H-M_alt 'P 1'
_space_group_IT_number 1
_space_group_name_Hall 'P 1'
_cell_length_a 3.019
_cell_length_b 3.019
_cell_length_c 6.932
_cell_angle_alpha 90.00
_cell_angle_beta 90.00
_cell_angle_gamma 120.00
loop_
_atom_site_label
_atom_site_type_symbol
_atom_site_fract_x
_atom_site_fract_y
_atom_site_fract_z
Tc1 Tc 0.000 0.000 0.043
Ce1 Ce 0.333 0.667 0.671
V1 V 0.667 0.333 0.286
```

Output
**DFT formation energy**: 255 meV per atom
**SG**: P3m1 (156)
**E above lowest polymorph**: 231.6 meV/atom


Entry 6:
This record from Alexandria via LeMat-Bulk describes a relaxed CeVTc crystal. The functional is PBE-GGA.

Cell and atoms, written as CIF:
```
data_CeVTc
_space_group_name_H-M_alt 'P 1'
_space_group_IT_number 1
_space_group_name_Hall 'P 1'
_cell_length_a 3.089
_cell_length_b 3.089
_cell_length_c 6.156
_cell_angle_alpha 104.53
_cell_angle_beta 104.53
_cell_angle_gamma 90.00
loop_
_atom_site_label
_atom_site_type_symbol
_atom_site_fract_x
_atom_site_fract_y
_atom_site_fract_z
Tc1 Tc 0.305 0.305 0.610
Ce1 Ce 0.997 0.997 0.994
V1 V 0.698 0.698 0.396
```

Output
**DFT formation energy**: 23 meV per atom
**SG**: I4mm (107)
**E above lowest polymorph**: 0.0 meV/atom